# 1
SrV2Os (PBE, optimized geometry); crystal system = tetragonal; VASP energy = -6.84 eV/atom; density = 6.5 g/cm³; E above lowest polymorph = 142 meV per atom; formation energy = 3.8 eV/f.u.; space group = I4_1/amd
1.0
4.772 0.000 0.000
0.000 4.772 0.000
2.386 2.386 8.489
Os Sr V
2 2 4
direct
0.750 0.250 0.500
0.000 0.000 0.000
0.250 0.750 0.500
0.500 0.500 0.000
0.375 0.125 0.750
0.875 0.125 0.250
0.875 0.125 0.750
0.875 0.625 0.250

# 2
SrVOs3 (PBE, optimized geometry); crystal system = cubic; VASP energy = -7.78 eV/atom; density = 11.9 g/cm³; E above lowest polymorph = 0 meV per atom; formation energy = 5.6 eV/f.u.; space group = Pm-3m
1.0
4.625 0.000 0.000
0.000 4.625 0.000
0.000 0.000 4.625
Os V Sr
3 1 1
direct
0.000 0.500 0.000
0.500 0.000 0.000
0.000 0.000 0.500
0.000 0.000 0.000
0.500 0.500 0.500

# 3
SrVOs (PBE, optimized geometry); crystal system = monoclinic; VASP energy = -7.08 eV/atom; density = 6.9 g/cm³; formation energy = 0.8 eV/f.u.; space group = C2/m
1.0
4.209 0.000 0.000
-2.105 3.649 0.047
0.000 -2.608 10.326
V Sr Os
2 2 2
direct
0.964 0.928 0.894
0.036 0.072 0.106
0.772 0.543 0.309
0.228 0.457 0.691
0.355 0.710 0.064
0.645 0.290 0.936

# 4
SrVOs2 (PBE, optimized geometry); crystal system = cubic; VASP energy = -7.45 eV/atom; density = 12.5 g/cm³; E above lowest polymorph = 72 meV per atom; formation energy = 3.5 eV/f.u.; space group = Fm-3m
1.0
1.050 -3.909 2.182
-3.264 -2.320 2.260
-1.512 -4.023 -1.635
Sr V Os
1 1 2
direct
0.500 0.500 0.500
0.000 0.000 0.000
0.250 0.250 0.250
0.750 0.750 0.750

# 5
SrV2Os (PBE, optimized geometry); crystal system = cubic; VASP energy = -6.98 eV/atom; density = 9.3 g/cm³; E above lowest polymorph = 0 meV per atom; formation energy = 3.2 eV/f.u.; space group = Fm-3m
1.0
1.467 -3.623 -2.378
-2.996 -2.621 -2.256
-0.110 0.069 -4.574
V Sr Os
2 1 1
direct
0.750 0.750 0.750
0.250 0.250 0.250
0.000 0.000 0.000
0.500 0.500 0.500

# 6
SrV3Os (PBE, optimized geometry); crystal system = cubic; VASP energy = -5.39 eV/atom; density = 8.3 g/cm³; E above lowest polymorph = 1925 meV per atom; formation energy = 13.3 eV/f.u.; space group = Pm-3m
1.0
4.413 0.000 0.000
0.000 4.413 0.000
0.000 0.000 4.413
Sr V Os
1 3 1
direct
0.000 0.000 0.000
0.000 0.000 0.500
0.000 0.500 0.000
0.500 0.000 0.000
0.500 0.500 0.500